# 1
A plane-wave DFT calculation with GGA-PBE was carried out for a geometry-optimized ScMnCu structure.

Results
Fermi-level density of states: 1.191 states/eV/atom
E_form: 0.10 eV/atom

Unit cell a=3.531 b=3.531 c=14.760 alpha=90.00 beta=90.00 gamma=90.00
Space group I4/mmm (No. 139)
Unique sites:
Sc  0.000  0.000  0.171 (multiplicity 4)
Mn  0.000  0.500  0.000 (multiplicity 4)
Cu  0.000  0.000  0.377 (multiplicity 4)

# 2
A plane-wave DFT calculation with GGA-PBE was carried out for a geometry-optimized Sc2MnCu structure.

Results
Fermi-level density of states: 0.791 states/eV/atom
E_form: 0.44 eV/atom

Unit cell a=3.0323 b=3.0323 c=27.2609 alpha=90.00 beta=90.00 gamma=120.00
Space group R-3m (No. 166, hexagonal axes)
Unique sites:
Sc  0.0000  0.0000  0.0977 (multiplicity 6)
Mn  0.0000  0.0000  0.5000 (multiplicity 3)
Cu  0.0000  0.0000  0.0000 (multiplicity 3)

# 3
A plane-wave DFT calculation with GGA-PBE was carried out for a geometry-optimized Sc2MnCu structure.

Results
Fermi-level density of states: 1.090 states/eV/atom
E_form: -0.10 eV/atom

Unit cell a=3.236 b=3.236 c=6.676 alpha=90.00 beta=90.00 gamma=90.00
Space group P4/mmm (No. 123)
Unique sites:
Sc  0.000  0.000  0.250 (multiplicity 2)
Mn  0.500  0.500  0.000 (multiplicity 1)
Cu  0.500  0.500  0.500 (multiplicity 1)

# 4
A plane-wave DFT calculation with GGA-PBE was carried out for a geometry-optimized Sc8MnCu2 structure.

Results
Fermi-level density of states: 0.793 states/eV/atom
E_form: 0.01 eV/atom

Unit cell a=4.742 b=7.728 c=12.020 alpha=90.00 beta=90.00 gamma=90.00
Space group Immm (No. 71)
Unique sites:
Sc  0.000  0.000  0.127 (multiplicity 4)
Sc  0.000  0.227  0.349 (multiplicity 8)
Sc  0.000  0.333  0.000 (multiplicity 4)
Mn  0.000  0.500  0.500 (multiplicity 2)
Cu  0.000  0.500  0.207 (multiplicity 4)

# 5
A plane-wave DFT calculation with GGA-PBE was carried out for a geometry-optimized ScMnCu3 structure.

Results
ΔE to the lowest computed polymorph: 0 meV per atom
Fermi-level density of states: 1.052 states/eV/atom
E_form: 0.62 eV/atom

Unit cell a=4.488 b=4.488 c=4.488 alpha=90.00 beta=90.00 gamma=90.00
Space group Pm-3m (No. 221)
Unique sites:
Sc  0.000  0.000  0.000 (multiplicity 1)
Mn  0.500  0.500  0.500 (multiplicity 1)
Cu  0.000  0.500  0.500 (multiplicity 3)

# 6
A plane-wave DFT calculation with GGA-PBE was carried out for a geometry-optimized Sc2MnCu structure.

Results
Fermi-level density of states: 1.440 states/eV/atom
E_form: -0.06 eV/atom

Unit cell a=6.548 b=6.576 c=3.228 alpha=90.00 beta=90.12 gamma=90.00
Space group C2/m (No. 12)
Unique sites:
Sc  0.250  0.250  0.000 (multiplicity 4)
Mn  0.000  0.000  0.500 (multiplicity 2)
Cu  0.000  0.500  0.500 (multiplicity 2)

# 7
A plane-wave DFT calculation with GGA-PBE was carried out for a geometry-optimized Sc2MnCu2 structure.

Results
Fermi-level density of states: 1.259 states/eV/atom
E_form: 0.16 eV/atom

Unit cell a=5.071 b=5.071 c=7.286 alpha=90.00 beta=90.00 gamma=90.00
Space group I4/mmm (No. 139)
Unique sites:
Sc  0.000  0.500  0.250 (multiplicity 4)
Mn  0.000  0.000  0.000 (multiplicity 2)
Cu  0.000  0.000  0.347 (multiplicity 4)

# 8
A plane-wave DFT calculation with GGA-PBE was carried out for a geometry-optimized ScMn2Cu structure.

Results
ΔE to the lowest computed polymorph: 64 meV per atom
Fermi-level density of states: 0.681 states/eV/atom
E_form: 0.06 eV/atom

Unit cell a=6.204 b=6.204 c=6.204 alpha=90.00 beta=90.00 gamma=90.00
Space group F-43m (No. 216)
Unique sites:
Sc  0.000  0.000  0.000 (multiplicity 4)
Mn  0.000  0.000  0.500 (multiplicity 4)
Mn  0.250  0.250  0.250 (multiplicity 4)
Cu  0.250  0.250  0.750 (multiplicity 4)